No. 1
Entry from Alexandria: crystalline NaSr3Rh at its relaxed geometry (GGA-PBE).

Energy of formation from the pure elements: 0.547 eV/atom
DOS at the Fermi energy: 5.41 states/eV/f.u.

a = 7.750 Å, b = 26.518 Å, c = 6.145 Å
α = 90.00°, β = 90.00°, γ = 90.00°
Space group Cmcm (No. 63)
Inequivalent atoms, fractional coordinates:
Na 0.000 0.125 0.250
Sr 0.000 0.000 0.000
Sr 0.234 0.203 0.750
Rh 0.000 0.229 0.250

***

No. 2
Entry from Alexandria: crystalline NaSr3Rh at its relaxed geometry (GGA-PBE).

Energy of formation from the pure elements: -0.136 eV/atom
DOS at the Fermi energy: 3.26 states/eV/f.u.

a = 4.207 Å, b = 9.184 Å, c = 10.344 Å
α = 97.57°, β = 101.45°, γ = 90.03°
Space group P-1 (No. 2)
Inequivalent atoms, fractional coordinates:
Na 0.011 0.190 0.033
Sr 0.211 0.341 0.419
Sr 0.330 0.029 0.664
Sr 0.398 0.416 0.803
Rh 0.198 0.733 0.391

***

No. 3
Entry from Alexandria: crystalline NaSr3Rh at its relaxed geometry (GGA-PBE).

Energy of formation from the pure elements: 0.202 eV/atom
DOS at the Fermi energy: 4.66 states/eV/f.u.

a = 4.906 Å, b = 4.906 Å, c = 10.101 Å
α = 90.00°, β = 90.00°, γ = 90.00°
Space group P4mm (No. 99)
Inequivalent atoms, fractional coordinates:
Na 0.000 0.000 0.000
Sr 0.000 0.000 0.617
Sr 0.000 0.500 0.320
Rh 0.500 0.500 0.492

***

No. 4
Entry from Alexandria: crystalline Na2Sr4Rh at its relaxed geometry (GGA-PBE).

Energy of formation from the pure elements: -0.100 eV/atom
DOS at the Fermi energy: 4.12 states/eV/f.u.

a = 20.674 Å, b = 4.358 Å, c = 7.172 Å
α = 90.00°, β = 108.44°, γ = 90.00°
Space group C2/m (No. 12)
Inequivalent atoms, fractional coordinates:
Na 0.249 0.000 0.257
Sr 0.082 0.500 0.240
Sr 0.088 0.000 0.756
Rh 0.000 0.000 0.000

***

No. 5
Entry from Alexandria: crystalline NaSr3Rh at its relaxed geometry (GGA-PBE).

Energy of formation from the pure elements: 0.653 eV/atom
DOS at the Fermi energy: 6.27 states/eV/f.u.

a = 6.486 Å, b = 6.486 Å, c = 26.093 Å
α = 90.00°, β = 90.00°, γ = 90.00°
Space group I-4m2 (No. 119)
Inequivalent atoms, fractional coordinates:
Na 0.000 0.000 0.000
Na 0.000 0.500 0.250
Sr 0.000 0.000 0.280
Sr 0.000 0.240 0.136
Rh 0.000 0.500 0.703

***

No. 6
Entry from Alexandria: crystalline NaSr3Rh at its relaxed geometry (GGA-PBE).

Energy of formation from the pure elements: -0.116 eV/atom
DOS at the Fermi energy: 3.78 states/eV/f.u.

a = 5.958 Å, b = 9.693 Å, c = 7.444 Å
α = 90.00°, β = 113.36°, γ = 90.00°
Space group P2_1/m (No. 11)
Inequivalent atoms, fractional coordinates:
Na 0.229 0.250 0.459
Sr 0.058 0.750 0.117
Sr 0.373 0.547 0.746
Rh 0.457 0.250 0.914

***

No. 7
Entry from Alexandria: crystalline Na6Sr12Rh at its relaxed geometry (GGA-PBE).

Energy of formation from the pure elements: 0.053 eV/atom
DOS at the Fermi energy: 15.43 states/eV/f.u.

a = 14.3045 Å, b = 14.3045 Å, c = 15.9764 Å
α = 90.00°, β = 90.00°, γ = 120.00°
Space group R-3 (No. 148, hexagonal axes)
Inequivalent atoms, fractional coordinates:
Na 0.0481 0.8629 0.3191
Sr 0.0398 0.6006 0.2207
Sr 0.0579 0.1904 0.8964
Rh 0.0000 0.0000 0.0000

***

No. 8
Entry from Alexandria: crystalline Na2Sr8Rh at its relaxed geometry (GGA-PBE).

Energy of formation from the pure elements: -0.046 eV/atom
DOS at the Fermi energy: 8.53 states/eV/f.u.

a = 19.844 Å, b = 8.337 Å, c = 6.966 Å
α = 90.00°, β = 110.15°, γ = 90.00°
Space group C2/m (No. 12)
Inequivalent atoms, fractional coordinates:
Na 0.248 0.000 0.013
Sr 0.062 0.249 0.804
Sr 0.131 0.000 0.393
Sr 0.142 0.500 0.381
Rh 0.000 0.000 0.500

***

No. 9
Entry from Alexandria: crystalline Na2Sr3Rh at its relaxed geometry (GGA-PBE).

Energy of formation from the pure elements: -0.122 eV/atom
DOS at the Fermi energy: 3.66 states/eV/f.u.

a = 19.293 Å, b = 5.986 Å, c = 8.388 Å
α = 90.00°, β = 90.01°, γ = 90.00°
Space group C2/c (No. 15)
Inequivalent atoms, fractional coordinates:
Na 0.202 0.001 0.254
Sr 0.000 0.001 0.750
Sr 0.108 0.500 0.000
Rh 0.000 0.499 0.250

***

No. 10
Entry from Alexandria: crystalline NaSr2Rh2 at its relaxed geometry (GGA-PBE).

Energy of formation from the pure elements: 0.080 eV/atom
DOS at the Fermi energy: 5.77 states/eV/f.u.

a = 3.810 Å, b = 3.810 Å, c = 21.763 Å
α = 90.00°, β = 90.00°, γ = 90.00°
Space group I4/mmm (No. 139)
Inequivalent atoms, fractional coordinates:
Na 0.000 0.000 0.000
Sr 0.000 0.000 0.358
Rh 0.000 0.500 0.250

***

No. 11
Entry from Alexandria: crystalline NaSr3Rh at its relaxed geometry (GGA-PBE).

Energy of formation from the pure elements: -0.088 eV/atom
DOS at the Fermi energy: 2.62 states/eV/f.u.

a = 7.7401 Å, b = 7.7401 Å, c = 24.0607 Å
α = 90.00°, β = 90.00°, γ = 120.00°
Space group R-3 (No. 148, hexagonal axes)
Inequivalent atoms, fractional coordinates:
Na 0.0000 0.0000 0.1781
Sr 0.0080 0.7011 0.6036
Rh 0.0000 0.0000 0.3179

***

No. 12
Entry from Alexandria: crystalline NaSr3Rh at its relaxed geometry (GGA-PBE).

Energy of formation from the pure elements: -0.130 eV/atom
DOS at the Fermi energy: 2.71 states/eV/f.u.

a = 4.272 Å, b = 9.536 Å, c = 9.760 Å
α = 103.04°, β = 90.02°, γ = 102.94°
Space group P1 (No. 1)
Inequivalent atoms, fractional coordinates:
Na 0.000 0.000 0.000
Na 0.179 0.363 0.160
Sr 0.223 0.449 0.553
Sr 0.328 0.657 0.954
Sr 0.439 0.881 0.684
Sr 0.545 0.092 0.367
Sr 0.639 0.281 0.790
Sr 0.861 0.725 0.366
Rh 0.045 0.092 0.583
Rh 0.817 0.635 0.724

***

No. 13
Entry from Alexandria: crystalline NaSr3Rh at its relaxed geometry (GGA-PBE).

Energy of formation from the pure elements: -0.121 eV/atom
DOS at the Fermi energy: 3.50 states/eV/f.u.

a = 16.387 Å, b = 15.630 Å, c = 6.752 Å
α = 90.00°, β = 108.84°, γ = 90.00°
Space group C2/c (No. 15)
Inequivalent atoms, fractional coordinates:
Na 0.171 0.051 0.101
Sr 0.070 0.166 0.553
Sr 0.098 0.424 0.577
Sr 0.158 0.300 0.130
Rh 0.000 0.305 0.750
Rh 0.000 0.306 0.250

***

No. 14
Entry from Alexandria: crystalline NaSr3Rh at its relaxed geometry (GGA-PBE).

Energy of formation from the pure elements: 0.074 eV/atom
DOS at the Fermi energy: 3.34 states/eV/f.u.

a = 9.9424 Å, b = 9.9424 Å, c = 6.7062 Å
α = 90.00°, β = 90.00°, γ = 120.00°
Space group R3m (No. 160, hexagonal axes)
Inequivalent atoms, fractional coordinates:
Na 0.0000 0.0000 0.0000
Sr 0.1766 0.3531 0.3025
Rh 0.0000 0.0000 0.4481

***

No. 15
Entry from Alexandria: crystalline Na2Sr7Rh2 at its relaxed geometry (GGA-PBE).

Energy of formation from the pure elements: -0.118 eV/atom
DOS at the Fermi energy: 6.57 states/eV/f.u.

a = 4.091 Å, b = 18.092 Å, c = 11.998 Å
α = 90.00°, β = 90.00°, γ = 90.00°
Space group Imm2 (No. 44)
Inequivalent atoms, fractional coordinates:
Na 0.000 0.000 0.000
Na 0.000 0.500 0.242
Sr 0.000 0.000 0.345
Sr 0.000 0.184 0.840
Sr 0.000 0.347 0.020
Sr 0.000 0.349 0.662
Rh 0.000 0.184 0.341

***

No. 16
Entry from Alexandria: crystalline NaSr3Rh at its relaxed geometry (GGA-PBE).

Energy of formation from the pure elements: 0.190 eV/atom
DOS at the Fermi energy: 3.90 states/eV/f.u.

a = 6.918 Å, b = 6.918 Å, c = 19.185 Å
α = 90.00°, β = 90.00°, γ = 90.00°
Space group I-4m2 (No. 119)
Inequivalent atoms, fractional coordinates:
Na 0.000 0.000 0.189
Sr 0.000 0.245 0.364
Sr 0.000 0.500 0.543
Rh 0.000 0.000 0.500
Rh 0.000 0.500 0.250

***

No. 17
Entry from Alexandria: crystalline NaSr3Rh at its relaxed geometry (GGA-PBE).

Energy of formation from the pure elements: -0.042 eV/atom
DOS at the Fermi energy: 3.78 states/eV/f.u.

a = 15.783 Å, b = 15.783 Å, c = 15.783 Å
α = 90.00°, β = 90.00°, γ = 90.00°
Space group Fd-3m (No. 227, origin choice 2)
Inequivalent atoms, fractional coordinates:
Na 0.000 0.000 0.000
Sr 0.062 0.375 0.875
Rh 0.000 0.000 0.500

***

No. 18
Entry from Alexandria: crystalline Na2Sr4Rh at its relaxed geometry (GGA-PBE).

Energy of formation from the pure elements: -0.060 eV/atom
DOS at the Fermi energy: 4.69 states/eV/f.u.

a = 5.855 Å, b = 5.855 Å, c = 18.765 Å
α = 90.00°, β = 90.00°, γ = 90.00°
Space group I4/mmm (No. 139)
Inequivalent atoms, fractional coordinates:
Na 0.000 0.000 0.139
Sr 0.000 0.000 0.341
Sr 0.000 0.500 0.000
Rh 0.000 0.000 0.500

***

No. 19
Entry from Alexandria: crystalline NaSrRh4 at its relaxed geometry (GGA-PBE).

Energy of formation from the pure elements: -0.030 eV/atom
DOS at the Fermi energy: 10.03 states/eV/f.u.

a = 7.622 Å, b = 7.622 Å, c = 7.622 Å
α = 90.00°, β = 90.00°, γ = 90.00°
Space group F-43m (No. 216)
Inequivalent atoms, fractional coordinates:
Na 0.000 0.000 0.000
Sr 0.250 0.250 0.250
Rh 0.125 0.125 0.625

***

No. 20
Entry from Alexandria: crystalline NaSr3Rh at its relaxed geometry (GGA-PBE).

Energy of formation from the pure elements: -0.147 eV/atom
DOS at the Fermi energy: 3.55 states/eV/f.u.

a = 4.214 Å, b = 9.485 Å, c = 9.720 Å
α = 79.07°, β = 89.99°, γ = 89.96°
Space group P1 (No. 1)
Inequivalent atoms, fractional coordinates:
Na 0.000 0.000 0.000
Na 0.499 0.335 0.963
Sr 0.000 0.200 0.321
Sr 0.000 0.502 0.578
Sr 0.001 0.578 0.173
Sr 0.500 0.135 0.643
Sr 0.500 0.757 0.791
Sr 0.500 0.833 0.385
Rh 0.000 0.909 0.583
Rh 0.501 0.426 0.381